1.
# GeBiO3

A relaxed structure of GeBiO3 (PBE, Alexandria via LeMat-Bulk).

abc: 4.620 5.667 6.748
angles: 107.62 107.06 93.43
Element x y z (fractional)
1 Ge 0.000 0.000 0.000
2 Ge 0.464 0.702 0.532
3 Bi 0.445 0.349 0.851
4 Bi 0.796 0.076 0.355
5 O 0.254 0.422 0.510
6 O 0.277 0.975 0.570
7 O 0.404 0.044 0.032
8 O 0.593 0.682 0.303
9 O 0.784 0.715 0.772
10 O 0.908 0.242 0.875

- theoretical density (g cm⁻³) = 6.89
- size of the total moment (μB per atom) = 0.0000
- D(E_F) (states/eV per cell) = 0.000
- raw formation energy (kJ per mole of atoms) = -128.10
- SG = P1



2.
# Ge3BiO

A relaxed structure of Ge3BiO (PBE, Alexandria via LeMat-Bulk).

abc: 5.560 5.560 5.560
angles: 90.00 90.00 90.00
Element x y z (fractional)
1 Ge 0.000 0.000 0.500
2 Ge 0.000 0.500 0.000
3 Ge 0.500 0.000 0.000
4 Bi 0.000 0.000 0.000
5 O 0.500 0.500 0.500

- theoretical density (g cm⁻³) = 4.28
- size of the total moment (μB per atom) = 0.0000
- energy above the most stable polymorph in this dataset (kJ/mol of atoms) = 147.66
- D(E_F) (states/eV per cell) = 4.238
- raw formation energy (kJ per mole of atoms) = 144.45
- SG = Pm-3m



3.
# GeBiO3

A relaxed structure of GeBiO3 (PBE, Alexandria via LeMat-Bulk).

abc: 4.267 4.267 4.267
angles: 90.00 90.00 90.00
Element x y z (fractional)
1 Ge 0.000 0.000 0.000
2 Bi 0.500 0.500 0.500
3 O 0.000 0.500 0.500
4 O 0.500 0.000 0.500
5 O 0.500 0.500 0.000

- theoretical density (g cm⁻³) = 7.05
- size of the total moment (μB per atom) = 0.0000
- D(E_F) (states/eV per cell) = 1.316
- raw formation energy (kJ per mole of atoms) = -43.16
- SG = Pm-3m



4.
# Ge3Bi2O9

A relaxed structure of Ge3Bi2O9 (PBE, Alexandria via LeMat-Bulk).

abc: 7.056 7.056 10.186
angles: 90.00 90.00 120.00
Element x y z (fractional)
1 Ge 0.069 0.779 0.250
2 Ge 0.221 0.290 0.250
3 Ge 0.290 0.069 0.750
4 Ge 0.710 0.931 0.250
5 Ge 0.779 0.710 0.750
6 Ge 0.931 0.221 0.750
7 Bi 0.333 0.667 0.521
8 Bi 0.333 0.667 0.979
9 Bi 0.667 0.333 0.021
10 Bi 0.667 0.333 0.479
11 O 0.062 0.795 0.750
12 O 0.071 0.645 0.105
13 O 0.071 0.645 0.395
14 O 0.205 0.267 0.750
15 O 0.267 0.062 0.250
16 O 0.355 0.426 0.105
17 O 0.355 0.426 0.395
18 O 0.426 0.071 0.605
19 O 0.426 0.071 0.895
20 O 0.574 0.929 0.105
21 O 0.574 0.929 0.395
22 O 0.645 0.574 0.605
23 O 0.645 0.574 0.895
24 O 0.733 0.938 0.750
25 O 0.795 0.733 0.250
26 O 0.929 0.355 0.605
27 O 0.929 0.355 0.895
28 O 0.938 0.205 0.250

- theoretical density (g cm⁻³) = 5.90
- size of the total moment (μB per atom) = 0.0000
- D(E_F) (states/eV per cell) = 0.000
- raw formation energy (kJ per mole of atoms) = -147.15
- SG = P6_3/m



5.
# Ge2BiO

A relaxed structure of Ge2BiO (PBE, Alexandria via LeMat-Bulk).

abc: 6.777 6.777 6.777
angles: 90.00 90.00 90.00
Element x y z (fractional)
1 Ge 0.250 0.250 0.250
2 Ge 0.250 0.250 0.750
3 Ge 0.250 0.750 0.250
4 Ge 0.250 0.750 0.750
5 Ge 0.750 0.250 0.250
6 Ge 0.750 0.250 0.750
7 Ge 0.750 0.750 0.250
8 Ge 0.750 0.750 0.750
9 Bi 0.000 0.000 0.000
10 Bi 0.000 0.500 0.500
11 Bi 0.500 0.000 0.500
12 Bi 0.500 0.500 0.000
13 O 0.000 0.000 0.500
14 O 0.000 0.500 0.000
15 O 0.500 0.000 0.000
16 O 0.500 0.500 0.500

- theoretical density (g cm⁻³) = 7.90
- size of the total moment (μB per atom) = 0.0000
- energy above the most stable polymorph in this dataset (kJ/mol of atoms) = 47.77
- D(E_F) (states/eV per cell) = 11.420
- raw formation energy (kJ per mole of atoms) = 35.90
- SG = Fm-3m



6.
# GeBi3O6

A relaxed structure of GeBi3O6 (PBE, Alexandria via LeMat-Bulk).

abc: 5.553 6.571 9.634
angles: 90.00 124.22 90.00
Element x y z (fractional)
1 Ge 0.000 0.000 0.000
2 Ge 0.000 0.500 0.500
3 Bi 0.261 0.038 0.770
4 Bi 0.261 0.462 0.270
5 Bi 0.500 0.000 0.500
6 Bi 0.500 0.500 0.000
7 Bi 0.739 0.538 0.730
8 Bi 0.739 0.962 0.230
9 O 0.050 0.209 0.884
10 O 0.050 0.291 0.384
11 O 0.308 0.656 0.488
12 O 0.308 0.844 0.988
13 O 0.319 0.108 0.213
14 O 0.319 0.392 0.713
15 O 0.681 0.608 0.287
16 O 0.681 0.892 0.787
17 O 0.692 0.156 0.012
18 O 0.692 0.344 0.512
19 O 0.950 0.709 0.616
20 O 0.950 0.791 0.116

- theoretical density (g cm⁻³) = 9.09
- size of the total moment (μB per atom) = 0.0597
- energy above the most stable polymorph in this dataset (kJ/mol of atoms) = 7.35
- D(E_F) (states/eV per cell) = 5.912
- raw formation energy (kJ per mole of atoms) = -112.36
- SG = P2_1/c